(1)
# TiMnGe2 | Alexandria | GGA-PBE | optimized geometry
data_TiMnGe2
_chemical_formula_sum 'Ti12 Mn12 Ge24'
_cell_length_a 8.933
_cell_length_b 9.870
_cell_length_c 7.934
_cell_angle_alpha 90.00
_cell_angle_beta 90.00
_cell_angle_gamma 90.00
_space_group_name_H-M_alt 'P b a m'
_space_group_IT_number 55
_space_group_name_Hall '-P 2 2ab'
loop_
_atom_site_label
_atom_site_type_symbol
_atom_site_fract_x
_atom_site_fract_y
_atom_site_fract_z
Ti1 Ti 0.164 0.180 0.000
Ti2 Ti 0.170 0.453 0.239
Mn1 Mn 0.000 0.000 0.244
Mn2 Mn 0.084 0.751 0.248
Ge1 Ge 0.033 0.624 0.500
Ge2 Ge 0.041 0.621 0.000
Ge3 Ge 0.137 0.898 0.000
Ge4 Ge 0.137 0.905 0.500
Ge5 Ge 0.169 0.182 0.337
# Formation energy (meV/atom): -422

***

(2)
# SnGeTe3 | Alexandria | GGA-PBE | optimized geometry
data_SnGeTe3
_chemical_formula_sum 'Sn1 Ge1 Te3'
_cell_length_a 5.435
_cell_length_b 5.435
_cell_length_c 5.435
_cell_angle_alpha 90.00
_cell_angle_beta 90.00
_cell_angle_gamma 90.00
_space_group_name_H-M_alt 'P m -3 m'
_space_group_IT_number 221
_space_group_name_Hall '-P 4 2 3'
loop_
_atom_site_label
_atom_site_type_symbol
_atom_site_fract_x
_atom_site_fract_y
_atom_site_fract_z
Sn1 Sn 0.000 0.000 0.000
Ge1 Ge 0.500 0.500 0.500
Te1 Te 0.000 0.500 0.500
# Energy relative to the elements, uncorrected (kJ/mol of atoms): 29.2

***

(3)
# SrZrAs | Alexandria | GGA-PBE | optimized geometry
data_SrZrAs
_chemical_formula_sum 'Sr2 Zr2 As2'
_cell_length_a 3.721
_cell_length_b 3.721
_cell_length_c 12.086
_cell_angle_alpha 90.00
_cell_angle_beta 90.00
_cell_angle_gamma 90.00
_space_group_name_H-M_alt 'I 4 m m'
_space_group_IT_number 107
_space_group_name_Hall 'I 4 -2'
loop_
_atom_site_label
_atom_site_type_symbol
_atom_site_fract_x
_atom_site_fract_y
_atom_site_fract_z
Sr1 Sr 0.000 0.000 0.000
Zr1 Zr 0.000 0.000 0.281
As1 As 0.000 0.000 0.714
# Formation energy (meV/atom): -506